A plane-wave DFT calculation with PBE was carried out for a relaxed Cu2SiBr crystal.

abc: 4.678 4.678 3.369
angles: 101.05 101.05 106.86
Sites, in units of the cell vectors:
Cu1 0.000 0.500 0.000
Cu2 0.500 0.000 0.000
Si1 0.000 0.000 0.500
Br1 0.500 0.500 0.500

Calculated values
VASP energy (eV/atom): -3.3152
E above lowest polymorph (eV per formula unit): 2.33
Crystal system: monoclinic
ρ (g/cm³): 5.8